CePr2HoN4 | GGA-PBE | optimized geometry

## Properties
- E_form (uncorrected) (eV per atom) = -1.458
- total magnetization (Bohr magnetons per cell) = 0.0
- SG = P2/m, No. 10
- calculated volume (Å³/cell) = 131

abc: 3.596 6.197 6.238
angles: 109.24 90.00 90.00
Positions (direct):
N (0.500, 0.757, 0.769)
N (0.500, 0.243, 0.231)
N (0.000, 0.254, 0.769)
N (0.000, 0.746, 0.231)
Ce (0.000, 0.000, 0.000)
Pr (0.500, 0.000, 0.500)
Pr (0.000, 0.500, 0.500)
Ho (0.500, 0.500, 0.000)

=====

CePm4Th3S8 | GGA-PBE | optimized geometry

## Properties
- E_form (uncorrected) (eV per atom) = -1.961
- total magnetization (Bohr magnetons per cell) = 0.5
- SG = R-3m, No. 166
- calculated volume (Å³/cell) = 371

abc: 8.017 8.115 8.017
angles: 119.60 120.00 90.00
Site moments in Bohr magnetons follow the coordinates.
Positions (direct):
Pm (0.000, 0.000, 0.000)  0.00
Pm (0.500, 0.000, 0.500)  0.00
Pm (0.500, 0.000, 0.000)  -0.01
Pm (0.000, 0.000, 0.500)  0.00
S (0.250, 0.752, 0.500)  0.00
S (0.750, 0.248, 0.998)  0.00
S (0.248, 0.248, 0.998)  0.00
S (0.751, 0.754, 0.502)  0.00
S (0.250, 0.752, 0.002)  0.00
S (0.752, 0.752, 0.002)  0.00
S (0.750, 0.248, 0.500)  0.00
S (0.249, 0.246, 0.498)  0.00
Ce (0.000, 0.500, 0.000)  0.49
Th (0.500, 0.500, 0.000)  0.00
Th (0.500, 0.500, 0.500)  0.00
Th (0.000, 0.500, 0.500)  0.00

=====

CuRhS3 | GGA-PBE | optimized geometry

## Properties
- E_form (uncorrected) (eV per atom) = 0.719
- total magnetization (Bohr magnetons per cell) = 1.6
- excess energy over the best structure of this formula in the dataset (meV per atom) = 467
- SG = Pm-3m, No. 221
- calculated volume (Å³/cell) = 99

abc: 4.619 4.619 4.619
angles: 90.00 90.00 90.00
Site moments in Bohr magnetons follow the coordinates.
Positions (direct):
S (0.000, 0.000, 0.500)  0.13
S (0.500, 0.000, 0.000)  0.41
S (0.000, 0.500, 0.000)  0.26
Rh (0.000, 0.000, 0.000)  0.35
Cu (0.500, 0.500, 0.500)  0.08